Record 1
5
Lattice="5.000 0.000 0.000 0.000 5.000 0.000 0.000 0.000 4.769" Properties=species:S:1:pos:R:3 comment="RbGe2PRh, relaxed, DFT PBE" e_form_mev_per_atom=242 pbc="T T T"
Rb 0.000 0.000 0.000
Ge 0.000 2.500 2.385
Ge 2.500 0.000 2.385
P 2.500 2.500 0.000
Rh 2.500 2.500 2.385

Record 2
5
Lattice="4.945 0.000 0.000 0.000 4.945 0.000 0.000 0.000 4.776" Properties=species:S:1:pos:R:3 comment="RbGeP2Rh, relaxed, DFT PBE" e_form_mev_per_atom=583 pbc="T T T"
Rb 0.000 0.000 0.000
Ge 2.473 2.473 2.388
P 0.000 2.473 2.388
P 2.473 0.000 2.388
Rh 2.473 2.473 0.000

Record 3
5
Lattice="6.822 0.000 0.000 0.000 6.822 0.000 0.000 0.000 4.458" Properties=species:S:1:pos:R:3 comment="Rb2GePRh, relaxed, DFT PBE" e_form_mev_per_atom=815 pbc="T T T"
Rb 0.000 3.411 0.000
Rb 3.411 0.000 0.000
Ge 0.000 0.000 0.000
P 0.000 0.000 2.229
Rh 3.411 3.411 2.229

Record 4
5
Lattice="5.652 0.000 0.000 0.000 5.652 0.000 0.000 0.000 5.486" Properties=species:S:1:pos:R:3 comment="RbGePS2, relaxed, DFT PBE" formation_energy_uncorrected_ev_per_atom=1.6139 polymorph_energy_mev_per_atom=1517 pbc="T T T"
Rb 0.000 0.000 0.000
Ge 2.826 2.826 2.743
P 0.000 0.000 2.743
S 0.000 2.826 0.000
S 2.826 0.000 0.000

The records above yield final energy values of -21.75 -20.84 -15.24 -11.18 eV per cell, respectively.
The records above yield Fermi-level density of states values of 5.37 6.13 6.68 3.69 states/eV per cell, respectively.